No. 1
Entry from OQMD: crystalline CsGdSO at its relaxed geometry (PBE-GGA).

Geometry as CIF:
```
data_CsGdSO
_cell_length_a 8.8437
_cell_length_b 9.5273
_cell_length_c 5.6455
_cell_angle_alpha 90.00
_cell_angle_beta 90.00
_cell_angle_gamma 90.00
_symmetry_space_group_name_H-M 'P 1'
_symmetry_Int_Tables_number 1
loop_
_symmetry_equiv_pos_as_xyz
'x,y,z'
loop_
_atom_site_label
_atom_site_fract_x
_atom_site_fract_y
_atom_site_fract_z
Cs1 0.3841 0.1030 0.0605
Cs2 0.8841 0.8970 0.0605
Cs3 0.1159 0.1030 0.5605
Cs4 0.6159 0.8970 0.5605
Gd1 0.9239 0.3680 0.0633
Gd2 0.4239 0.6320 0.0633
Gd3 0.5761 0.3680 0.5633
Gd4 0.0761 0.6320 0.5633
O1 0.0256 0.1807 0.0626
O2 0.5256 0.8193 0.0626
O3 0.4744 0.1807 0.5626
O4 0.9744 0.8193 0.5626
S1 0.6083 0.3979 0.0636
S2 0.1083 0.6021 0.0636
S3 0.8917 0.3979 0.5636
S4 0.3917 0.6021 0.5636
```

- size of the total moment (μB per formula unit) = 0.0
- energy above the lowest structure with this stoichiometry (kJ/mol of atoms) = 16.2

***

No. 2
Entry from OQMD: crystalline LiInFeW at its relaxed geometry (PBE-GGA).

Geometry as CIF:
```
data_LiInFeW
_cell_length_a 4.4691
_cell_length_b 4.4691
_cell_length_c 4.4691
_cell_angle_alpha 60.00
_cell_angle_beta 60.00
_cell_angle_gamma 60.00
_symmetry_space_group_name_H-M 'P 1'
_symmetry_Int_Tables_number 1
loop_
_symmetry_equiv_pos_as_xyz
'x,y,z'
loop_
_atom_site_label
_atom_site_fract_x
_atom_site_fract_y
_atom_site_fract_z
Fe1 0.0000 0.0000 0.0000
In1 0.2500 0.2500 0.2500
Li1 0.7500 0.7500 0.7500
W1 0.5000 0.5000 0.5000
```

- size of the total moment (μB per formula unit) = 3.4
- energy above the lowest structure with this stoichiometry (kJ/mol of atoms) = 57.4

***

Look up the energy above the lowest structure with this stoichiometry of the second one.
57.4 kJ/mol of atoms